VASP calculation (GGA-PBE) on an optimized crystal structure of LaCuTeBr2.

Summary:
For the uncorrected formation energy, the calculation gives -0.289 eV per atom. As for the theoretical density: 4167 kg/m³.

```
data_LaCuTeBr2
_chemical_formula_sum 'La1 Cu1 Te1 Br2'
_cell_length_a 5.7233
_cell_length_b 5.7233
_cell_length_c 5.9592
_cell_angle_alpha 90.00
_cell_angle_beta 90.00
_cell_angle_gamma 90.00
_space_group_name_H-M_alt 'P 4/m m m'
_space_group_IT_number 123
_space_group_name_Hall '-P 4 2'
loop_
_atom_site_label
_atom_site_type_symbol
_atom_site_fract_x
_atom_site_fract_y
_atom_site_fract_z
La1 La 0.0000 0.0000 0.0000
Cu1 Cu 0.0000 0.0000 0.5000
Te1 Te 0.5000 0.5000 0.5000
Br1 Br 0.0000 0.5000 0.0000
```

VASP calculation (GGA-PBE) on an optimized crystal structure of HfCd2Cu2.

Summary:
Its formation energy is 0.156 eV/atom. As for the theoretical density: 10006 kg/m³.

```
data_HfCd2Cu2
_chemical_formula_sum 'Hf2 Cd4 Cu4'
_cell_length_a 7.8438
_cell_length_b 7.8438
_cell_length_c 2.8612
_cell_angle_alpha 90.00
_cell_angle_beta 90.00
_cell_angle_gamma 90.00
_space_group_name_H-M_alt 'P 4/m b m'
_space_group_IT_number 127
_space_group_name_Hall '-P 4 2ab'
loop_
_atom_site_label
_atom_site_type_symbol
_atom_site_fract_x
_atom_site_fract_y
_atom_site_fract_z
Hf1 Hf 0.0000 0.0000 0.0000
Cd1 Cd 0.1284 0.3716 0.0000
Cu1 Cu 0.1721 0.6721 0.5000
```

VASP calculation (GGA-PBE) on an optimized crystal structure of PmSc2SiN4.

Summary:
For the uncorrected formation energy, the calculation gives -1.470 eV per atom. As for the theoretical density: 5414 kg/m³.

```
data_PmSc2SiN4
_chemical_formula_sum 'Pm4 Sc8 Si4 N16'
_cell_length_a 3.2068
_cell_length_b 11.1303
_cell_length_c 10.9648
_cell_angle_alpha 90.00
_cell_angle_beta 90.00
_cell_angle_gamma 90.00
_space_group_name_H-M_alt 'C m c m'
_space_group_IT_number 63
_space_group_name_Hall '-C 2c 2'
loop_
_atom_site_label
_atom_site_type_symbol
_atom_site_fract_x
_atom_site_fract_y
_atom_site_fract_z
Pm1 Pm 0.0000 0.0898 0.2500
Sc1 Sc 0.0000 0.3695 0.0386
Si1 Si 0.0000 0.1743 0.7500
N1 N 0.0000 0.0000 0.0000
N2 N 0.0000 0.2630 0.6224
N3 N 0.0000 0.4093 0.2500
```

What is the theoretical density in the second record?
10006 kg/m³

The highest theoretical density belongs to which entry?
HfCd2Cu2

Which of these has the highest theoretical density?
HfCd2Cu2

Copy entry 3 word for word.
VASP calculation (GGA-PBE) on an optimized crystal structure of PmSc2SiN4.

Summary:
For the uncorrected formation energy, the calculation gives -1.470 eV per atom. As for the theoretical density: 5414 kg/m³.

```
data_PmSc2SiN4
_chemical_formula_sum 'Pm4 Sc8 Si4 N16'
_cell_length_a 3.2068
_cell_length_b 11.1303
_cell_length_c 10.9648
_cell_angle_alpha 90.00
_cell_angle_beta 90.00
_cell_angle_gamma 90.00
_space_group_name_H-M_alt 'C m c m'
_space_group_IT_number 63
_space_group_name_Hall '-C 2c 2'
loop_
_atom_site_label
_atom_site_type_symbol
_atom_site_fract_x
_atom_site_fract_y
_atom_site_fract_z
Pm1 Pm 0.0000 0.0898 0.2500
Sc1 Sc 0.0000 0.3695 0.0386
Si1 Si 0.0000 0.1743 0.7500
N1 N 0.0000 0.0000 0.0000
N2 N 0.0000 0.2630 0.6224
N3 N 0.0000 0.4093 0.2500
```